# PBE NpHIr, optimized geometry
data_NpHIr
_cell_length_a 3.7207
_cell_length_b 3.7207
_cell_length_c 24.0575
_cell_angle_alpha 90.00
_cell_angle_beta 90.00
_cell_angle_gamma 120.00
_space_group_name_H-M_alt 'R -3 m'
_space_group_IT_number 166
_space_group_name_Hall '-R 3 2"'
loop_
_atom_site_label
_atom_site_fract_x
_atom_site_fract_y
_atom_site_fract_z
Np1 0.0000 0.0000 0.2303
H1 0.0000 0.0000 0.1354
Ir1 0.0000 0.0000 0.3686
# offset from the most stable computed form: 9 meV per atom
# DFT total energy: -150.6 eV per cell